PaBeFe (PBE-GGA, relaxed); volume = 16.057 A^3/atom; SG = No. 216; total energy = -6.77 eV per atom
1.0
0.0000 2.8879 2.8879
2.8879 0.0000 2.8879
2.8879 2.8879 0.0000
Be Fe Pa
1 1 1
direct
0.0000 0.0000 0.0000 Be
0.2500 0.2500 0.2500 Fe
0.7500 0.7500 0.7500 Pa